[1]
# La3HoIn

Crystalline La3HoIn at its relaxed geometry (PBE, Alexandria via LeMat-Bulk).

Lattice parameters (Å, degrees): 13.349 13.349 4.945 90.00 90.00 158.58
Sites, in units of the cell vectors:
La (0.054, 0.946, 0.750)
La (0.250, 0.750, 0.750)
La (0.441, 0.559, 0.750)
La (0.559, 0.441, 0.250)
La (0.750, 0.250, 0.250)
La (0.946, 0.054, 0.250)
Ho (0.347, 0.653, 0.250)
Ho (0.653, 0.347, 0.750)
In (0.153, 0.847, 0.250)
In (0.847, 0.153, 0.750)

Summary:
- DFT formation energy: -0.1967 eV per atom
- Energy relative to the lowest polymorph listed for this composition: 0 kJ/mol of formula units

***

[2]
# Sm2Cd5Au

Crystalline Sm2Cd5Au at its relaxed geometry (PBE, Alexandria via LeMat-Bulk).

Lattice parameters (Å, degrees): 11.301 11.301 11.301 24.26 24.26 24.26
Sites, in units of the cell vectors:
Sm (0.091, 0.091, 0.091)
Sm (0.909, 0.909, 0.909)
Cd (0.196, 0.196, 0.196)
Cd (0.363, 0.363, 0.363)
Cd (0.500, 0.500, 0.500)
Cd (0.637, 0.637, 0.637)
Cd (0.804, 0.804, 0.804)
Au (0.000, 0.000, 0.000)

Summary:
- DFT formation energy: -0.1923 eV per atom

***

[3]
# Y2CrPb

Crystalline Y2CrPb at its relaxed geometry (PBE, Alexandria via LeMat-Bulk).

Lattice parameters (Å, degrees): 5.157 5.157 6.605 98.43 98.43 39.45
Sites, in units of the cell vectors:
Y (0.247, 0.247, 0.232)
Y (0.753, 0.753, 0.768)
Cr (0.500, 0.500, 0.000)
Pb (0.000, 0.000, 0.500)

Summary:
- DFT formation energy: 0.1615 eV per atom

***

[4]
# NdSeF

Crystalline NdSeF at its relaxed geometry (PBE, Alexandria via LeMat-Bulk).

Lattice parameters (Å, degrees): 4.666 4.666 4.666 60.00 60.00 60.00
Sites, in units of the cell vectors:
Nd (0.000, 0.000, 0.000)
Se (0.750, 0.750, 0.750)
F (0.250, 0.250, 0.250)

Summary:
- Raw formation energy: -2.603 eV per atom

***

[5]
# GaSb3W

Crystalline GaSb3W at its relaxed geometry (PBE, Alexandria via LeMat-Bulk).

Lattice parameters (Å, degrees): 5.174 5.174 5.174 90.00 90.00 90.00
Sites, in units of the cell vectors:
Ga (0.000, 0.000, 0.000)
Sb (0.000, 0.000, 0.500)
Sb (0.000, 0.500, 0.000)
Sb (0.500, 0.000, 0.000)
W (0.500, 0.500, 0.500)

Summary:
- Raw formation energy: 1.491 eV per atom
- Energy relative to the lowest polymorph listed for this composition: 414 kJ/mol of formula units

***

[6]
# La6PmHo2Mg

Crystalline La6PmHo2Mg at its relaxed geometry (PBE, Alexandria via LeMat-Bulk).

Lattice parameters (Å, degrees): 8.733 8.733 9.471 95.60 95.60 104.98
Sites, in units of the cell vectors:
La (0.045, 0.466, 0.671)
La (0.059, 0.821, 0.900)
La (0.179, 0.941, 0.600)
La (0.244, 0.580, 0.082)
La (0.420, 0.756, 0.418)
La (0.466, 0.045, 0.171)
La (0.534, 0.955, 0.829)
La (0.580, 0.244, 0.582)
La (0.756, 0.420, 0.918)
La (0.821, 0.059, 0.400)
La (0.941, 0.179, 0.100)
La (0.955, 0.534, 0.329)
Pm (0.431, 0.569, 0.750)
Pm (0.569, 0.431, 0.250)
Ho (0.235, 0.301, 0.405)
Ho (0.301, 0.235, 0.905)
Ho (0.699, 0.765, 0.095)
Ho (0.765, 0.699, 0.595)
Mg (0.096, 0.904, 0.250)
Mg (0.904, 0.096, 0.750)

Summary:
- DFT formation energy: 0.0903 eV per atom

***

[7]
# TbPmPr3

Crystalline TbPmPr3 at its relaxed geometry (PBE, Alexandria via LeMat-Bulk).

Lattice parameters (Å, degrees): 8.067 8.067 6.486 90.00 90.00 120.04
Sites, in units of the cell vectors:
Tb (0.166, 0.834, 0.750)
Tb (0.834, 0.166, 0.250)
Pm (0.500, 0.500, 0.000)
Pm (0.500, 0.500, 0.500)
Pr (0.101, 0.301, 0.750)
Pr (0.301, 0.101, 0.250)
Pr (0.301, 0.699, 0.250)
Pr (0.699, 0.301, 0.750)
Pr (0.699, 0.899, 0.750)
Pr (0.899, 0.699, 0.250)

Summary:
- DFT formation energy: 0.3057 eV per atom
- Energy relative to the lowest polymorph listed for this composition: 0 kJ/mol of formula units

***

[8]
# HoH4Ru

Crystalline HoH4Ru at its relaxed geometry (PBE, Alexandria via LeMat-Bulk).

Lattice parameters (Å, degrees): 3.734 3.734 8.322 90.00 90.00 110.84
Sites, in units of the cell vectors:
Ho (0.000, 0.000, 0.000)
Ho (0.000, 0.000, 0.500)
H (0.143, 0.352, 0.250)
H (0.352, 0.143, 0.750)
H (0.353, 0.647, 0.546)
H (0.353, 0.647, 0.954)
H (0.647, 0.353, 0.046)
H (0.647, 0.353, 0.454)
H (0.648, 0.857, 0.250)
H (0.857, 0.648, 0.750)
Ru (0.350, 0.650, 0.750)
Ru (0.650, 0.350, 0.250)

Summary:
- Energy relative to the lowest polymorph listed for this composition: 4 kJ/mol of formula units

***

[9]
# LaHf2Ir2

Crystalline LaHf2Ir2 at its relaxed geometry (PBE, Alexandria via LeMat-Bulk).

Lattice parameters (Å, degrees): 8.045 8.045 3.213 90.00 90.00 90.00
Sites, in units of the cell vectors:
La (0.000, 0.000, 0.000)
La (0.500, 0.500, 0.000)
Hf (0.149, 0.351, 0.500)
Hf (0.351, 0.851, 0.500)
Hf (0.649, 0.149, 0.500)
Hf (0.851, 0.649, 0.500)
Ir (0.138, 0.638, 0.000)
Ir (0.362, 0.138, 0.000)
Ir (0.638, 0.862, 0.000)
Ir (0.862, 0.362, 0.000)

Summary:
- DFT formation energy: -0.5681 eV per atom
- Energy relative to the lowest polymorph listed for this composition: 133 kJ/mol of formula units

***

[10]
# Ba2NaMg3Sn4

Crystalline Ba2NaMg3Sn4 at its relaxed geometry (PBE, Alexandria via LeMat-Bulk).

Lattice parameters (Å, degrees): 4.936 4.936 12.571 90.00 90.00 90.00
Sites, in units of the cell vectors:
Ba (0.000, 0.500, 0.245)
Ba (0.500, 0.000, 0.755)
Na (0.000, 0.000, 0.500)
Mg (0.000, 0.500, 0.865)
Mg (0.500, 0.000, 0.135)
Mg (0.500, 0.500, 0.500)
Sn (0.000, 0.000, 0.000)
Sn (0.000, 0.500, 0.641)
Sn (0.500, 0.000, 0.359)
Sn (0.500, 0.500, 0.000)

Summary:
- DFT formation energy: -0.4137 eV per atom

***

[11]
# Ac5GeTe4

Crystalline Ac5GeTe4 at its relaxed geometry (PBE, Alexandria via LeMat-Bulk).

Lattice parameters (Å, degrees): 8.181 8.181 8.181 99.54 99.54 131.95
Sites, in units of the cell vectors:
Ac (0.000, 0.000, 0.000)
Ac (0.218, 0.597, 0.815)
Ac (0.403, 0.218, 0.621)
Ac (0.597, 0.782, 0.379)
Ac (0.782, 0.403, 0.185)
Ge (0.500, 0.500, 0.000)
Te (0.094, 0.304, 0.398)
Te (0.304, 0.906, 0.210)
Te (0.696, 0.094, 0.790)
Te (0.906, 0.696, 0.602)

Summary:
- Raw formation energy: -1.409 eV per atom

***

[12]
# Li3Mg3Cd4

Crystalline Li3Mg3Cd4 at its relaxed geometry (PBE, Alexandria via LeMat-Bulk).

Lattice parameters (Å, degrees): 8.141 8.141 8.141 109.47 109.47 109.47
Sites, in units of the cell vectors:
Li (0.125, 0.750, 0.875)
Li (0.250, 0.625, 0.375)
Li (0.375, 0.250, 0.625)
Li (0.625, 0.375, 0.250)
Li (0.750, 0.875, 0.125)
Li (0.875, 0.125, 0.750)
Mg (0.125, 0.875, 0.250)
Mg (0.250, 0.125, 0.875)
Mg (0.375, 0.625, 0.750)
Mg (0.625, 0.750, 0.375)
Mg (0.750, 0.375, 0.625)
Mg (0.875, 0.250, 0.125)
Cd (0.000, 0.214, 0.500)
Cd (0.000, 0.714, 0.500)
Cd (0.214, 0.500, 0.000)
Cd (0.286, 0.286, 0.286)
Cd (0.500, 0.000, 0.214)
Cd (0.500, 0.000, 0.714)
Cd (0.714, 0.500, 0.000)
Cd (0.786, 0.786, 0.786)

Summary:
- DFT formation energy: -0.0232 eV per atom

***

[13]
# UVS2

Crystalline UVS2 at its relaxed geometry (PBE, Alexandria via LeMat-Bulk).

Lattice parameters (Å, degrees): 7.055 7.055 7.055 32.26 32.26 32.26
Sites, in units of the cell vectors:
U (0.000, 0.000, 0.000)
V (0.473, 0.473, 0.473)
S (0.131, 0.131, 0.131)
S (0.593, 0.593, 0.593)

Summary:
- Raw formation energy: -0.612 eV per atom
- Energy relative to the lowest polymorph listed for this composition: 0 kJ/mol of formula units

***

[14]
# RbH2Pb

Crystalline RbH2Pb at its relaxed geometry (PBE, Alexandria via LeMat-Bulk).

Lattice parameters (Å, degrees): 4.824 4.824 4.824 60.00 60.00 60.00
Sites, in units of the cell vectors:
Rb (0.000, 0.000, 0.000)
H (0.250, 0.250, 0.250)
H (0.750, 0.750, 0.750)
Pb (0.500, 0.500, 0.500)

Summary:
- Energy relative to the lowest polymorph listed for this composition: 225 kJ/mol of formula units

***

[15]
# ZrAgHg3

Crystalline ZrAgHg3 at its relaxed geometry (PBE, Alexandria via LeMat-Bulk).

Lattice parameters (Å, degrees): 4.491 6.115 8.433 90.00 90.00 90.00
Sites, in units of the cell vectors:
Zr (0.250, 0.250, 0.102)
Zr (0.750, 0.750, 0.898)
Ag (0.250, 0.750, 0.446)
Ag (0.750, 0.250, 0.554)
Hg (0.250, 0.000, 0.726)
Hg (0.250, 0.500, 0.726)
Hg (0.250, 0.750, 0.112)
Hg (0.750, 0.000, 0.274)
Hg (0.750, 0.250, 0.888)
Hg (0.750, 0.500, 0.274)

Summary:
- DFT formation energy: 0.1479 eV per atom
- Energy relative to the lowest polymorph listed for this composition: 0 kJ/mol of formula units